(1)
First-principles (GGA-PBE) data for crystalline Nd4InBi2 at its relaxed geometry, as listed in Alexandria.

The structure in POSCAR format:
```
Nd4InBi2
1.0
-0.8202 -2.1647 -5.7894
-4.2658 -4.7679 2.3871
-7.8120 7.5681 1.1558
Nd Bi In
8 4 2
Direct
0.9615 0.2500 0.1431
0.4636 0.4843 0.7426
0.1521 0.7500 0.4585
0.0385 0.7500 0.8569
0.4636 0.0157 0.7426
0.5364 0.5157 0.2574
0.5364 0.9843 0.2574
0.8479 0.2500 0.5415
0.6048 0.7500 0.9990
0.3952 0.2500 0.0010
0.7103 0.7500 0.5506
0.2897 0.2500 0.4494
0.9458 0.2500 0.8266
0.0542 0.7500 0.1734
```

VASP energy, eV/cell: -66.2

(2)
First-principles (GGA-PBE) data for crystalline ZnBiAu2C at its relaxed geometry, as listed in Alexandria.

The structure in POSCAR format:
```
ZnBiAu2C
1.0
-4.0363 -0.9325 -0.9182
1.5060 -1.4480 -5.1497
0.6248 -3.9891 1.3044
C Au Zn Bi
1 2 1 1
Direct
0.0000 0.0000 0.0000
0.5000 0.0000 0.0000
0.0000 0.0000 0.5000
0.5000 0.5000 0.5000
0.0000 0.5000 0.0000
```

VASP energy, eV/cell: -17.3

(3)
First-principles (GGA-PBE) data for crystalline Tb4Ho4Mg at its relaxed geometry, as listed in Alexandria.

The structure in POSCAR format:
```
Tb4Ho4Mg
1.0
-6.5166 -3.9799 -7.3899
-5.3732 -2.8802 6.2825
-2.0858 5.6497 -1.1970
Mg Tb Ho
2 8 8
Direct
0.5824 0.5002 0.7508
0.4176 0.4998 0.2492
0.0816 0.4998 0.2501
0.0841 0.8344 0.0263
0.9184 0.5002 0.7499
0.2517 0.8347 0.5263
0.5808 0.8335 0.5345
0.7483 0.1653 0.4737
0.9159 0.1656 0.9737
0.4192 0.1665 0.4655
0.5806 0.1659 0.9669
0.7480 0.8337 0.0270
0.9155 0.8329 0.5247
0.7443 0.4997 0.2492
0.0845 0.1671 0.4753
0.2557 0.5003 0.7508
0.2520 0.1663 0.9730
0.4194 0.8341 0.0331
```

E above lowest polymorph, eV/atom: 0.000

(4)
First-principles (GGA-PBE) data for crystalline RbZnHg2Bi at its relaxed geometry, as listed in Alexandria.

The structure in POSCAR format:
```
RbZnHg2Bi
1.0
5.5042 0.0000 0.0000
0.0000 5.5042 0.0000
0.0000 0.0000 5.5534
Hg Rb Bi Zn
2 1 1 1
Direct
0.0000 0.5000 0.0000
0.5000 0.0000 0.0000
0.5000 0.5000 0.5000
0.0000 0.0000 0.5000
0.0000 0.0000 0.0000
```

VASP energy, eV/cell: -7.0